Arrangement w

Compound: Hf3CdHg
Source: Alexandria via LeMat-Bulk
Functional: PBE
Structure: relaxed

The structure in extended XYZ format:
```
5
Lattice="5.2024 0.0000 0.0000 0.0000 5.2024 0.0000 0.0000 0.0000 5.2024" Properties=species:S:1:pos:R:3 pbc="T T T"
Hf 0.0000 0.0000 2.6012
Hf 0.0000 2.6012 0.0000
Hf 2.6012 0.0000 0.0000
Cd 2.6012 2.6012 2.6012
Hg 0.0000 0.0000 0.0000
```

DOS at the Fermi energy   0.4038 states/eV/atom

=====

Arrangement x

Compound: Hf3CdHg
Source: Alexandria via LeMat-Bulk
Functional: PBE
Structure: relaxed

The structure in extended XYZ format:
```
10
Lattice="2.8640 -7.6419 0.0000 2.8640 7.6419 0.0000 0.0000 0.0000 5.3531" Properties=species:S:1:pos:R:3 pbc="T T T"
Hf 0.0000 0.0000 0.0000
Hf 0.0000 0.0000 2.6766
Hf 1.4068 2.4282 1.3383
Hf 1.4068 -2.4282 4.0148
Hf 4.3212 2.4282 1.3383
Hf 4.3212 -2.4282 4.0148
Cd 2.8640 0.7581 4.0148
Cd 2.8640 -0.7581 1.3383
Hg 2.8640 4.9778 1.3383
Hg 2.8640 -4.9778 4.0148
```

DOS at the Fermi energy   0.8666 states/eV/atom

=====

It is arrangement x that is the most stable of them.

=====

Arrangement w

Compound: Hf2Cd2Hg
Source: Alexandria via LeMat-Bulk
Functional: PBE
Structure: relaxed

The structure in extended XYZ format:
```
10
Lattice="8.3853 0.0000 0.0000 0.0000 8.3853 0.0000 0.0000 0.0000 3.3307" Properties=species:S:1:pos:R:3 pbc="T T T"
Hf 1.0604 3.1322 0.0000
Hf 3.1322 7.3249 0.0000
Hf 5.2531 1.0604 0.0000
Hf 7.3249 5.2531 0.0000
Cd 1.4439 5.6365 1.6653
Cd 2.7488 1.4439 1.6653
Cd 5.6365 6.9414 1.6653
Cd 6.9414 2.7488 1.6653
Hg 0.0000 0.0000 0.0000
Hg 4.1926 4.1926 0.0000
```

DOS at the Fermi energy   0.9485 states/eV/atom

=====

Arrangement x

Compound: Hf2Cd2Hg
Source: Alexandria via LeMat-Bulk
Functional: PBE
Structure: relaxed

The structure in extended XYZ format:
```
5
Lattice="-1.9670 1.9670 7.6633 1.9670 -1.9670 7.6633 1.9670 1.9670 -7.6633" Properties=species:S:1:pos:R:3 pbc="T T T"
Hf 0.0000 0.0000 1.4089
Hf 0.0000 0.0000 13.9177
Cd 1.9670 0.0000 3.8317
Cd 0.0000 1.9670 3.8317
Hg 0.0000 0.0000 7.6633
```

DOS at the Fermi energy   1.3763 states/eV/atom

=====

It is arrangement w that is the most stable of them.

=====

Arrangement w

Compound: Hf2Cd2Hg
Source: Alexandria via LeMat-Bulk
Functional: PBE
Structure: relaxed

The structure in extended XYZ format:
```
10
Lattice="7.9775 0.0000 0.0000 0.0000 7.9775 0.0000 0.0000 0.0000 3.4333" Properties=species:S:1:pos:R:3 pbc="T T T"
Hf 1.3741 2.6147 0.0000
Hf 2.6147 6.6034 0.0000
Hf 5.3629 1.3741 0.0000
Hf 6.6034 5.3629 0.0000
Cd 1.0097 4.9984 1.7167
Cd 2.9791 1.0097 1.7167
Cd 4.9984 6.9679 1.7167
Cd 6.9679 2.9791 1.7167
Hg 0.0000 0.0000 1.7167
Hg 3.9888 3.9888 1.7167
```

DOS at the Fermi energy   0.5731 states/eV/atom

=====

Arrangement x

Compound: Hf2Cd2Hg
Source: Alexandria via LeMat-Bulk
Functional: PBE
Structure: relaxed

The structure in extended XYZ format:
```
10
Lattice="1.6172 -13.4422 0.0000 1.6172 13.4422 0.0000 0.0000 0.0000 5.2125" Properties=species:S:1:pos:R:3 pbc="T T T"
Hf 1.6172 12.5794 3.9094
Hf 1.6172 1.7064 3.9094
Hf 1.6172 -1.7064 1.3031
Hf 1.6172 -12.5794 1.3031
Cd 1.6172 9.0470 1.3031
Cd 1.6172 3.5606 1.3031
Cd 1.6172 -3.5606 3.9094
Cd 1.6172 -9.0470 3.9094
Hg 1.6172 7.1827 3.9094
Hg 1.6172 -7.1827 1.3031
```

DOS at the Fermi energy   0.6390 states/eV/atom

=====

It is arrangement x that is the most stable of them.